# 1
YSeN3 | PBE-GGA | optimized geometry

Values from the calculation:
- VASP energy: -6.478 eV/atom
- Symmetry: No. 221

Lattice parameters (Å, degrees): 3.829 3.829 3.829 90.00 90.00 90.00
Atoms (fractional coordinates):
Se (0.000, 0.000, 0.000)
N (0.500, 0.000, 0.000)
N (0.000, 0.500, 0.000)
N (0.000, 0.000, 0.500)
Y (0.500, 0.500, 0.500)

# 2
PmPuCdRu | PBE-GGA | optimized geometry

Values from the calculation:
- Energy relative to the lowest polymorph listed for this composition: 0.60 eV/f.u.
- Formation enthalpy at 0 K: -0.0203 eV/atom
- VASP energy: -7.339 eV/atom
- Symmetry: No. 216

Lattice parameters (Å, degrees): 5.104 5.104 5.104 60.00 60.00 60.00
Last column: magnetic moment on the atom in μB.
Atoms (fractional coordinates):
Pu (0.000, 0.000, 0.000)  5.31
Cd (0.250, 0.250, 0.250)  0.03
Ru (0.750, 0.750, 0.750)  -0.48
Pm (0.500, 0.500, 0.500)  0.11

# 3
Ba2AgP | PBE-GGA | optimized geometry

Values from the calculation:
- Formation enthalpy at 0 K: -0.4278 eV/atom
- VASP energy: -3.454 eV/atom
- Symmetry: No. 122

Lattice parameters (Å, degrees): 8.599 8.599 7.579 55.44 55.44 90.00
Atoms (fractional coordinates):
P (0.250, 0.750, 0.500)
P (0.500, 0.500, 0.000)
Ba (0.163, 0.625, 0.250)
Ba (0.375, 0.413, 0.750)
Ba (0.875, 0.837, 0.750)
Ba (0.587, 0.125, 0.250)
Ag (0.000, 0.000, 0.000)
Ag (0.750, 0.250, 0.500)

The highest VASP energy belongs to which entry? Ba2AgP